# TaZnCu2B PBE optimized geometry
# magnetic moment	0.1	μB per formula unit
# ΔH_f (0 K)	1.533	eV per atom
data_TaZnCu2B
_chemical_formula_sum 'Ta1 Zn1 Cu2 B1'
_cell_length_a 4.8611
_cell_length_b 4.8611
_cell_length_c 4.1979
_cell_angle_alpha 90.00
_cell_angle_beta 90.00
_cell_angle_gamma 90.00
_space_group_name_H-M_alt 'P 4/m m m'
_space_group_IT_number 123
_space_group_name_Hall '-P 4 2'
loop_
_atom_site_label
_atom_site_type_symbol
_atom_site_fract_x
_atom_site_fract_y
_atom_site_fract_z
_atom_site_occupancy
Ta1 Ta 0.0000 0.0000 0.0000 1
Zn1 Zn 0.5000 0.5000 0.5000 1
Cu1 Cu 0.0000 0.5000 0.0000 1
B1 B 0.0000 0.0000 0.5000 1